[1]
CsSmNiTe3 | PBE | relaxed

The structure in POSCAR format:
```
CsSmNiTe3
1.0
-3.320 -9.689 -5.365
0.191 -2.195 3.847
-15.542 3.722 2.898
Sm Ni Te Cs
4 4 12 4
direct
0.643 0.250 0.062
0.857 0.750 0.562
0.143 0.250 0.438
0.357 0.750 0.938
0.650 0.750 0.874
0.150 0.750 0.626
0.350 0.250 0.126
0.850 0.250 0.374
0.234 0.750 0.770
0.700 0.250 0.492
0.766 0.250 0.230
0.041 0.250 0.618
0.959 0.750 0.382
0.300 0.750 0.508
0.541 0.250 0.882
0.266 0.250 0.270
0.200 0.250 0.008
0.459 0.750 0.118
0.734 0.750 0.730
0.800 0.750 0.992
0.535 0.750 0.340
0.465 0.250 0.660
0.035 0.750 0.160
0.965 0.250 0.840
```

For the energy above the lowest structure with this stoichiometry, the calculation gives 0.088 eV per atom. As for the space-group type: No. 62. For the magnetization, the calculation gives 0.730 μB/f.u.

***

[2]
CsSmNiTe3 | PBE | relaxed

The structure in POSCAR format:
```
CsSmNiTe3
1.0
10.124 0.000 0.000
0.000 4.397 0.000
-4.062 0.000 9.931
Cs Ni Te Sm
2 2 6 2
direct
0.721 0.250 0.769
0.279 0.750 0.231
0.596 0.250 0.126
0.404 0.750 0.874
0.027 0.250 0.326
0.973 0.750 0.674
0.394 0.750 0.634
0.341 0.250 0.958
0.606 0.250 0.366
0.659 0.750 0.042
0.177 0.250 0.637
0.823 0.750 0.363
```

For the energy above the lowest structure with this stoichiometry, the calculation gives 0.002 eV per atom. As for the space-group type: No. 11. For the magnetization, the calculation gives 0.001 μB/f.u.